Density functional theory data (PBE+U) for BaMoF2 after structural relaxation.

The value obtained for the magnetic moment is 5.67 μB/f.u. The space group is No. 122. The excess energy over the best structure of this formula in the dataset comes out at 264 meV/atom.

Unit cell a=7.906 b=7.906 c=7.906 alpha=136.60 beta=136.60 gamma=63.06
Fractional coordinates of all 8 atoms:
Ba1 0.000 0.000 0.000
Ba2 0.750 0.250 0.500
Mo1 0.250 0.750 0.500
Mo2 0.500 0.500 0.000
F1 0.080 0.625 0.955
F2 0.375 0.330 0.455
F3 0.670 0.125 0.045
F4 0.875 0.920 0.545